No. 1
CaZnCl2 | GGA-PBE | optimized geometry

Geometry as POSCAR:
```
CaZnCl2
1.0
0.000 3.599 3.599
3.599 0.000 3.599
3.599 3.599 0.000
Zn Ca Cl
1 1 2
direct
0.500 0.500 0.500
0.000 0.000 0.000
0.250 0.250 0.250
0.750 0.750 0.750
```

Summary:
Its offset from the most stable computed form is 283.2 meV per atom. The value obtained for the calculated total energy is -0.220 Ry per atom. The symmetry is No. 225. The density of states at the Fermi level comes out at 0.0 states/eV/f.u. The calculation puts the formation energy (no corrections) at -1.26 eV per atom.

=====

No. 2
La7PmSm4 | GGA-PBE | optimized geometry

Geometry as POSCAR:
```
La7PmSm4
1.0
6.148 0.000 0.000
3.074 9.244 1.949
3.074 1.916 8.080
La Pm Sm
7 1 4
direct
0.791 0.876 0.541
0.209 0.124 0.459
0.082 0.563 0.273
0.918 0.437 0.727
0.207 0.780 0.805
0.500 0.000 0.000
0.793 0.220 0.195
0.000 0.000 0.000
0.573 0.302 0.552
0.427 0.698 0.448
0.672 0.605 0.051
0.328 0.395 0.949
```

Summary:
Its offset from the most stable computed form is 175.8 meV per atom. The formation energy is 189.0 meV per atom. The value obtained for the calculated total energy is -0.342 Ry per atom. The symmetry is No. 12. The density of states at the Fermi level comes out at 20.3 states/eV/f.u.

=====

No. 3
DyY3Bi4 | GGA-PBE | optimized geometry

Geometry as POSCAR:
```
DyY3Bi4
1.0
6.334 0.000 0.000
0.000 6.334 0.000
0.000 0.000 6.334
Y Bi Dy
3 4 1
direct
0.000 0.500 0.500
0.500 0.000 0.500
0.500 0.500 0.000
0.500 0.000 0.000
0.000 0.500 0.000
0.000 0.000 0.500
0.500 0.500 0.500
0.000 0.000 0.000
```

Summary:
Its offset from the most stable computed form is 0.0 meV per atom. The formation energy is -893.4 meV per atom. The value obtained for the calculated total energy is -0.429 Ry per atom. The symmetry is No. 221. The density of states at the Fermi level comes out at 0.5 states/eV/f.u.

=====

No. 4
CoAs | GGA-PBE | optimized geometry

Geometry as POSCAR:
```
CoAs
1.0
1.216 -1.673 -3.734
3.062 0.930 -2.825
5.221 -4.123 1.205
Co As
3 3
direct
0.286 0.286 0.269
0.047 0.047 0.647
0.255 0.255 0.893
0.934 0.934 0.023
0.754 0.754 0.647
0.557 0.557 0.355
```

Summary:
The formation energy is -123.3 meV per atom. The value obtained for the calculated total energy is -0.441 Ry per atom. The symmetry is No. 8. The density of states at the Fermi level comes out at 1.1 states/eV/f.u.

=====

No. 5
Sc2GaMoH | GGA-PBE | optimized geometry

Geometry as POSCAR:
```
Sc2GaMoH
1.0
-3.425 -2.312 -1.848
-1.206 -1.490 4.100
-2.212 2.942 0.419
Sc H Mo Ga
2 1 1 1
direct
0.000 0.500 0.000
0.500 0.000 0.000
0.000 0.000 0.000
0.000 0.000 0.500
0.500 0.500 0.500
```

Summary:
The value obtained for the calculated total energy is -0.463 Ry per atom. The symmetry is No. 123. The density of states at the Fermi level comes out at 3.6 states/eV/f.u.

=====

No. 6
Tb4MgPd5 | GGA-PBE | optimized geometry

Geometry as POSCAR:
```
Tb4MgPd5
1.0
-1.180 -2.529 2.040
2.581 0.588 2.222
-9.926 11.481 8.494
Tb Mg Pd
4 1 5
direct
0.000 0.000 0.186
0.000 0.000 0.395
0.000 0.000 0.605
0.000 0.000 0.814
0.000 0.000 0.000
0.500 0.500 0.086
0.500 0.500 0.291
0.500 0.500 0.500
0.500 0.500 0.709
0.500 0.500 0.914
```

Summary:
The formation energy is -828.2 meV per atom. The value obtained for the calculated total energy is -0.400 Ry per atom. The symmetry is No. 123. The density of states at the Fermi level comes out at 6.3 states/eV/f.u.

=====

No. 7
KMnRe2 | GGA-PBE | optimized geometry

Geometry as POSCAR:
```
KMnRe2
1.0
4.573 -0.004 0.000
0.003 4.573 0.000
-2.288 -2.285 3.234
K Mn Re
1 1 2
direct
0.500 0.500 0.000
0.750 0.250 0.500
0.000 0.000 0.000
0.250 0.750 0.500
```

Summary:
Its offset from the most stable computed form is 689.2 meV per atom. The formation energy is 1453.5 meV per atom. The value obtained for the calculated total energy is -0.539 Ry per atom. The symmetry is No. 216. The density of states at the Fermi level comes out at 4.5 states/eV/f.u.